VASP calculation (GGA-PBE) on crystalline BaTcNi4 at its relaxed geometry.

Unit cell a=7.196 b=7.196 c=7.196 alpha=90.00 beta=90.00 gamma=90.00
Space group F-43m (No. 216)
Asymmetric unit:
Ba1 0.000 0.000 0.000 (multiplicity 4)
Tc1 0.250 0.250 0.250 (multiplicity 4)
Ni1 0.123 0.123 0.623 (multiplicity 16)

Values from the calculation:
Fermi-level density of states	0.926	states/eV/atom
energy of formation	0.53	eV per atom

***

VASP calculation (GGA-PBE) on crystalline BaTcNi2 at its relaxed geometry.

Unit cell a=2.929 b=4.983 c=9.879 alpha=90.00 beta=90.00 gamma=90.00
Space group Imm2 (No. 44)
Asymmetric unit:
Ba1 0.000 0.000 0.000 (multiplicity 2)
Tc1 0.000 0.500 0.210 (multiplicity 2)
Ni1 0.000 0.000 0.496 (multiplicity 2)
Ni2 0.000 0.500 0.782 (multiplicity 2)

Values from the calculation:
Fermi-level density of states	1.340	states/eV/atom
energy of formation	0.83	eV per atom

***

VASP calculation (GGA-PBE) on crystalline BaTc2Ni at its relaxed geometry.

Unit cell a=3.307 b=5.758 c=9.243 alpha=90.00 beta=90.00 gamma=90.00
Space group Imm2 (No. 44)
Asymmetric unit:
Ba1 0.000 0.000 0.000 (multiplicity 2)
Tc1 0.000 0.000 0.497 (multiplicity 2)
Tc2 0.000 0.500 0.178 (multiplicity 2)
Ni1 0.000 0.500 0.803 (multiplicity 2)

Values from the calculation:
Fermi-level density of states	0.736	states/eV/atom
energy of formation	0.92	eV per atom

***

VASP calculation (GGA-PBE) on crystalline BaTcNi2 at its relaxed geometry.

Unit cell a=4.938 b=4.938 c=2.941 alpha=90.00 beta=90.00 gamma=90.00
Space group P4/mmm (No. 123)
Asymmetric unit:
Ba1 0.000 0.000 0.000 (multiplicity 1)
Tc1 0.500 0.500 0.000 (multiplicity 1)
Ni1 0.000 0.500 0.500 (multiplicity 2)

Values from the calculation:
Fermi-level density of states	0.820	states/eV/atom
energy of formation	0.84	eV per atom

***

VASP calculation (GGA-PBE) on crystalline BaTcNi2 at its relaxed geometry.

Unit cell a=4.249 b=5.744 c=7.162 alpha=90.00 beta=90.00 gamma=90.00
Space group Immm (No. 71)
Asymmetric unit:
Ba1 0.000 0.000 0.000 (multiplicity 2)
Tc1 0.000 0.000 0.500 (multiplicity 2)
Ni1 0.000 0.500 0.176 (multiplicity 4)

Values from the calculation:
Fermi-level density of states	1.184	states/eV/atom
energy of formation	0.80	eV per atom

***

VASP calculation (GGA-PBE) on crystalline BaTcNi2 at its relaxed geometry.

Unit cell a=4.077 b=4.157 c=5.475 alpha=90.00 beta=102.55 gamma=90.00
Space group Pm (No. 6)
Asymmetric unit:
Ba1 0.000 0.000 0.000 (multiplicity 1)
Tc1 0.235 0.500 0.544 (multiplicity 1)
Ni1 0.496 0.000 0.510 (multiplicity 1)
Ni2 0.682 0.500 0.345 (multiplicity 1)

Values from the calculation:
Fermi-level density of states	1.283	states/eV/atom
energy of formation	0.53	eV per atom

***

VASP calculation (GGA-PBE) on crystalline BaTcNi3 at its relaxed geometry.

Unit cell a=4.840 b=4.840 c=4.840 alpha=90.00 beta=90.00 gamma=90.00
Space group Pm-3m (No. 221)
Asymmetric unit:
Ba1 0.000 0.000 0.000 (multiplicity 1)
Tc1 0.500 0.500 0.500 (multiplicity 1)
Ni1 0.000 0.000 0.500 (multiplicity 3)

Values from the calculation:
Fermi-level density of states	1.428	states/eV/atom
energy of formation	2.27	eV per atom

***

VASP calculation (GGA-PBE) on crystalline BaTcNi2 at its relaxed geometry.

Unit cell a=7.279 b=4.203 c=6.186 alpha=90.00 beta=113.17 gamma=90.00
Space group C2/m (No. 12)
Asymmetric unit:
Ba1 0.000 0.000 0.000 (multiplicity 2)
Tc1 0.000 0.500 0.500 (multiplicity 2)
Ni1 0.185 0.000 0.554 (multiplicity 4)

Values from the calculation:
Fermi-level density of states	0.720	states/eV/atom
energy of formation	0.19	eV per atom

***

VASP calculation (GGA-PBE) on crystalline Ba2TcNi at its relaxed geometry.

Unit cell a=4.1505 b=4.1505 c=25.9988 alpha=90.00 beta=90.00 gamma=120.00
Space group R-3m (No. 166, hexagonal axes)
Asymmetric unit:
Ba1 0.0000 0.0000 0.2420 (multiplicity 6)
Tc1 0.0000 0.0000 0.0000 (multiplicity 3)
Ni1 0.0000 0.0000 0.5000 (multiplicity 3)

Values from the calculation:
Fermi-level density of states	0.638	states/eV/atom
energy of formation	1.02	eV per atom

***

VASP calculation (GGA-PBE) on crystalline Ba2TcNi at its relaxed geometry.

Unit cell a=8.539 b=8.539 c=6.462 alpha=90.00 beta=90.00 gamma=90.00
Space group I-42d (No. 122)
Asymmetric unit:
Ba1 0.213 0.750 0.125 (multiplicity 8)
Tc1 0.000 0.000 0.500 (multiplicity 4)
Ni1 0.000 0.000 0.000 (multiplicity 4)

Values from the calculation:
Fermi-level density of states	1.190	states/eV/atom
energy of formation	1.05	eV per atom

***

VASP calculation (GGA-PBE) on crystalline Ba2TcNi at its relaxed geometry.

Unit cell a=4.555 b=4.555 c=10.942 alpha=90.00 beta=90.00 gamma=90.00
Space group I-4m2 (No. 119)
Asymmetric unit:
Ba1 0.000 0.000 0.000 (multiplicity 2)
Ba2 0.000 0.500 0.250 (multiplicity 2)
Tc1 0.000 0.000 0.500 (multiplicity 2)
Ni1 0.000 0.500 0.750 (multiplicity 2)

Values from the calculation:
Fermi-level density of states	1.211	states/eV/atom
energy of formation	0.98	eV per atom

***

VASP calculation (GGA-PBE) on crystalline BaTcNi3 at its relaxed geometry.

Unit cell a=4.681 b=4.681 c=4.681 alpha=90.00 beta=90.00 gamma=90.00
Space group Pm-3m (No. 221)
Asymmetric unit:
Ba1 0.000 0.000 0.000 (multiplicity 1)
Tc1 0.500 0.500 0.500 (multiplicity 1)
Ni1 0.000 0.500 0.500 (multiplicity 3)

Values from the calculation:
Fermi-level density of states	1.164	states/eV/atom
energy of formation	0.61	eV per atom